# 1
LiCa2Sb2Rh (GGA-PBE, relaxed); theoretical density = 5.02 g cm⁻³; space group = No. 72; magnetic moment = 0.000 μB per atom; calculated total energy = -0.3214 Ry/atom
1.0
6.3607 0.0000 0.0000
0.0000 6.2618 0.0000
-3.1804 -3.1309 7.1986
Li Rh Ca Sb
2 2 4 4
Direct
0.0000 0.7500 0.0000 Li
0.0000 0.2500 0.0000 Li
0.5000 0.7500 0.0000 Rh
0.5000 0.2500 0.0000 Rh
0.1025 0.3417 0.6834 Ca
0.4191 0.1583 0.3166 Ca
0.8975 0.6583 0.3166 Ca
0.5809 0.8417 0.6834 Ca
0.3646 0.6116 0.2232 Sb
0.6354 0.3884 0.7768 Sb
0.8586 0.1116 0.2232 Sb
0.1414 0.8884 0.7768 Sb

---

# 2
LiCa2ScRh (GGA-PBE, relaxed); theoretical density = 2.51 g cm⁻³; energy of formation = -0.160 eV/atom; space group = No. 123; magnetic moment = 0.000 μB per atom
1.0
5.6019 0.0000 0.0000
0.0000 5.6019 0.0000
0.0000 0.0000 4.9576
Ca Rh Sc Li
2 1 1 1
Direct
0.0000 0.5000 0.0000 Ca
0.5000 0.0000 0.0000 Ca
0.0000 0.0000 0.0000 Rh
0.0000 0.0000 0.5000 Sc
0.5000 0.5000 0.5000 Li

---

# 3
LiCaScRh (GGA-PBE, relaxed); theoretical density = 4.09 g cm⁻³; energy of formation = -0.325 eV/atom; space group = No. 216; magnetic moment = 0.000 μB per atom
1.0
-3.6295 2.4969 -1.9494
-4.3342 -0.0108 2.1031
-1.6310 3.9761 2.1768
Rh Ca Sc Li
1 1 1 1
Direct
0.5000 0.5000 0.5000 Rh
0.7500 0.7500 0.7500 Ca
0.2500 0.2500 0.2500 Sc
0.0000 0.0000 0.0000 Li